(1)
# PBE AlZn2Fe, optimized geometry
data_AlZn2Fe
_cell_length_a 6.996
_cell_length_b 6.996
_cell_length_c 4.988
_cell_angle_alpha 90.00
_cell_angle_beta 90.00
_cell_angle_gamma 90.00
_space_group_name_H-M_alt 'I -4 2 d'
_space_group_IT_number 122
_space_group_name_Hall 'I -4 2bw'
loop_
_atom_site_label
_atom_site_type_symbol
_atom_site_fract_x
_atom_site_fract_y
_atom_site_fract_z
Al1 Al 0.000 0.000 0.000
Zn1 Zn 0.235 0.250 0.625
Fe1 Fe 0.000 0.000 0.500
# DFT formation energy: 316.1 meV per atom
# E_tot: -3.372 eV/atom
# Crystal system: tetragonal

---

(2)
# PBE TbHoMgPd, optimized geometry
data_TbHoMgPd
_cell_length_a 7.256
_cell_length_b 7.256
_cell_length_c 7.256
_cell_angle_alpha 90.00
_cell_angle_beta 90.00
_cell_angle_gamma 90.00
_space_group_name_H-M_alt 'F -4 3 m'
_space_group_IT_number 216
_space_group_name_Hall 'F -4 2 3'
loop_
_atom_site_label
_atom_site_type_symbol
_atom_site_fract_x
_atom_site_fract_y
_atom_site_fract_z
Tb1 Tb 0.000 0.000 0.000
Ho1 Ho 0.000 0.000 0.500
Mg1 Mg 0.250 0.250 0.750
Pd1 Pd 0.250 0.250 0.250
# DFT formation energy: -401.0 meV per atom
# E_tot: -4.400 eV/atom
# Crystal system: cubic

---

(3)
# PBE Al4CrRu, optimized geometry
data_Al4CrRu
_cell_length_a 7.113
_cell_length_b 7.113
_cell_length_c 7.113
_cell_angle_alpha 90.00
_cell_angle_beta 90.00
_cell_angle_gamma 90.00
_space_group_name_H-M_alt 'F -4 3 m'
_space_group_IT_number 216
_space_group_name_Hall 'F -4 2 3'
loop_
_atom_site_label
_atom_site_type_symbol
_atom_site_fract_x
_atom_site_fract_y
_atom_site_fract_z
Al1 Al 0.125 0.125 0.125
Cr1 Cr 0.250 0.250 0.750
Ru1 Ru 0.000 0.000 0.500
# DFT formation energy: 74.7 meV per atom
# E_tot: -5.570 eV/atom
# Crystal system: cubic

---

(4)
# PBE RbBeSnBr5, optimized geometry
data_RbBeSnBr5
_cell_length_a 9.624
_cell_length_b 12.625
_cell_length_c 10.518
_cell_angle_alpha 90.00
_cell_angle_beta 115.58
_cell_angle_gamma 90.00
_space_group_name_H-M_alt 'C 1 2/c 1'
_space_group_IT_number 15
_space_group_name_Hall '-C 2yc'
loop_
_atom_site_label
_atom_site_type_symbol
_atom_site_fract_x
_atom_site_fract_y
_atom_site_fract_z
Rb1 Rb 0.000 0.144 0.250
Be1 Be 0.000 0.188 0.750
Sn1 Sn 0.000 0.500 0.000
Br1 Br 0.000 0.408 0.250
Br2 Br 0.113 0.285 0.645
Br3 Br 0.170 0.086 0.919
# Raw formation energy: -1.092 eV/atom
# E_tot: -3.224 eV/atom
# Crystal system: monoclinic

---

(5)
# PBE HfTi2Cr, optimized geometry
data_HfTi2Cr
_cell_length_a 6.427
_cell_length_b 6.427
_cell_length_c 6.427
_cell_angle_alpha 90.00
_cell_angle_beta 90.00
_cell_angle_gamma 90.00
_space_group_name_H-M_alt 'F m -3 m'
_space_group_IT_number 225
_space_group_name_Hall '-F 4 2 3'
loop_
_atom_site_label
_atom_site_type_symbol
_atom_site_fract_x
_atom_site_fract_y
_atom_site_fract_z
Hf1 Hf 0.000 0.000 0.000
Ti1 Ti 0.250 0.250 0.250
Cr1 Cr 0.000 0.000 0.500
# DFT formation energy: 237.0 meV per atom
# Relative energy among the computed polymorphs: 0.70 eV/f.u.
# E_tot: -8.605 eV/atom
# Crystal system: cubic

---

(6)
# PBE NpRuAuO6, optimized geometry
data_NpRuAuO6
_cell_length_a 5.2979
_cell_length_b 5.2979
_cell_length_c 9.7462
_cell_angle_alpha 90.00
_cell_angle_beta 90.00
_cell_angle_gamma 120.00
_space_group_name_H-M_alt 'P -3 1 c'
_space_group_IT_number 163
_space_group_name_Hall '-P 3 2c'
loop_
_atom_site_label
_atom_site_type_symbol
_atom_site_fract_x
_atom_site_fract_y
_atom_site_fract_z
Np1 Np 0.3333 0.6667 0.2500
Ru1 Ru 0.3333 0.6667 0.7500
Au1 Au 0.0000 0.0000 0.0000
O1 O 0.0099 0.3589 0.6358
# Raw formation energy: -1.429 eV/atom
# E_tot: -7.567 eV/atom
# Crystal system: trigonal

---

(7)
# PBE VCr3Cl, optimized geometry
data_VCr3Cl
_cell_length_a 4.654
_cell_length_b 4.654
_cell_length_c 4.654
_cell_angle_alpha 90.00
_cell_angle_beta 90.00
_cell_angle_gamma 90.00
_space_group_name_H-M_alt 'P m -3 m'
_space_group_IT_number 221
_space_group_name_Hall '-P 4 2 3'
loop_
_atom_site_label
_atom_site_type_symbol
_atom_site_fract_x
_atom_site_fract_y
_atom_site_fract_z
V1 V 0.000 0.000 0.000
Cr1 Cr 0.000 0.000 0.500
Cl1 Cl 0.500 0.500 0.500
# Raw formation energy: 1.335 eV/atom
# Relative energy among the computed polymorphs: 2.15 eV/f.u.
# E_tot: -6.633 eV/atom
# Crystal system: cubic

---

(8)
# PBE SrSmZnN2, optimized geometry
data_SrSmZnN2
_cell_length_a 5.447
_cell_length_b 5.585
_cell_length_c 6.818
_cell_angle_alpha 90.00
_cell_angle_beta 90.00
_cell_angle_gamma 90.00
_space_group_name_H-M_alt 'P c c m'
_space_group_IT_number 49
_space_group_name_Hall '-P 2 2c'
loop_
_atom_site_label
_atom_site_type_symbol
_atom_site_fract_x
_atom_site_fract_y
_atom_site_fract_z
Sr1 Sr 0.000 0.000 0.250
Sm1 Sm 0.500 0.500 0.250
Zn1 Zn 0.000 0.500 0.000
N1 N 0.267 0.288 0.000
# Raw formation energy: -0.528 eV/atom
# E_tot: -5.393 eV/atom
# Crystal system: orthorhombic

---

Question: Look up the E_tot of the third one.
Answer: -5.570 eV/atom